The following is a PBE calculation of crystalline NaBeBrN2 at its relaxed geometry, from Alexandria via LeMat-Bulk.

```
5
Lattice="4.2083 0.0000 0.0000 0.0000 4.2083 0.0000 0.0000 0.0000 5.1195" Properties=species:S:1:pos:R:3 pbc="T T T"
Na 0.0000 0.0000 0.0000
Be 2.1041 2.1041 0.0000
Br 0.0000 0.0000 2.5597
N 0.0000 2.1041 2.5597
N 2.1041 0.0000 2.5597
```

Output
Uncorrected formation energy, meV per atom: 2231
Theoretical density, g/cm3: 2.563
Total magnetic moment, μB per cell: 1.61
Volume, Å³ per cell: 90.7